No. 1
This record from Alexandria describes an optimized crystal structure of SiWBr2. The functional is PBE-GGA.

Output
Excess energy over the best structure of this formula in the dataset (kJ/mol of atoms): 105.76
M_tot (μB/cell): 0.0

CIF file:
```
data_SiWBr2
_symmetry_space_group_name_H-M 'F m -3 m'
_symmetry_Int_Tables_number 225
_symmetry_space_group_name_Hall '-F 4 2 3'
_cell_length_a 6.612
_cell_length_b 6.612
_cell_length_c 6.612
_cell_angle_alpha 90.00
_cell_angle_beta 90.00
_cell_angle_gamma 90.00
loop_
_atom_site_label
_atom_site_fract_x
_atom_site_fract_y
_atom_site_fract_z
Si1 0.000 0.000 0.000
W1 0.000 0.000 0.500
Br1 0.250 0.250 0.250
```

No. 2
This record from Alexandria describes an optimized crystal structure of KBeW2. The functional is PBE-GGA.

Output
Energy relative to the elements (eV/atom): 1.663
M_tot (μB/cell): 0.0

CIF file:
```
data_KBeW2
_symmetry_space_group_name_H-M 'C m m m'
_symmetry_Int_Tables_number 65
_symmetry_space_group_name_Hall '-C 2 2'
_cell_length_a 5.437
_cell_length_b 10.335
_cell_length_c 2.609
_cell_angle_alpha 90.00
_cell_angle_beta 90.00
_cell_angle_gamma 90.00
loop_
_atom_site_label
_atom_site_fract_x
_atom_site_fract_y
_atom_site_fract_z
K1 0.000 0.000 0.000
Be1 0.000 0.500 0.000
W1 0.250 0.250 0.500
```

> Which value of M_tot does entry 1 give?

0.0 μB/cell